No. 1
Material: Tl2Zn2Bi
Method: DFT, PBEsol
State: optimized geometry

CIF file:
```
data_Tl2Zn2Bi
_chemical_formula_sum 'Tl4 Zn4 Bi2'
_symmetry_space_group_name_H-M 'I 4/m m m'
_symmetry_Int_Tables_number 139
_symmetry_space_group_name_Hall '-I 4 2'
_cell_length_a 4.387
_cell_length_b 4.387
_cell_length_c 12.433
_cell_angle_alpha 90.00
_cell_angle_beta 90.00
_cell_angle_gamma 90.00
loop_
_atom_site_label
_atom_site_type_symbol
_atom_site_fract_x
_atom_site_fract_y
_atom_site_fract_z
_atom_site_occupancy
Tl1 Tl 0.000 0.500 0.250 1
Zn1 Zn 0.000 0.000 0.095 1
Bi1 Bi 0.000 0.000 0.500 1
```

## Properties
The calculation puts the energy above the most stable polymorph in this dataset at 0.111 eV per atom.

=====

No. 2
Material: Zr2TlBi
Method: DFT, PBEsol
State: optimized geometry

CIF file:
```
data_Zr2TlBi
_chemical_formula_sum 'Zr8 Tl4 Bi4'
_symmetry_space_group_name_H-M 'F m -3 m'
_symmetry_Int_Tables_number 225
_symmetry_space_group_name_Hall '-F 4 2 3'
_cell_length_a 7.142
_cell_length_b 7.142
_cell_length_c 7.142
_cell_angle_alpha 90.00
_cell_angle_beta 90.00
_cell_angle_gamma 90.00
loop_
_atom_site_label
_atom_site_type_symbol
_atom_site_fract_x
_atom_site_fract_y
_atom_site_fract_z
_atom_site_occupancy
Zr1 Zr 0.250 0.250 0.250 1
Tl1 Tl 0.000 0.000 0.000 1
Bi1 Bi 0.000 0.000 0.500 1
```

=====

Number 1: ΔH_f (0 K) 1.05 eV/f.u., calculated density 10.4 Mg/m³, D(E_F) 4.37 states/eV/cell. Number 2: ΔH_f (0 K) -0.43 eV/f.u., calculated density 10.9 Mg/m³, D(E_F) 15.32 states/eV/cell.